(1)
Ni2PbS3: relaxed, PBE-GGA.

```
Ni2PbS3
1.0
-4.3221 -4.7106 1.9456
2.1836 -5.3711 3.3225
-1.4866 -0.5924 6.7394
S Pb Ni
6 2 4
Cartesian
-3.8277 -5.1781 7.5851
-1.6911 -2.8495 6.6233
-3.0133 -5.1696 3.7417
-0.6117 -5.5046 8.2657
-1.9339 -7.8247 5.3841
0.2026 -5.4960 4.4224
-1.0095 -2.2991 3.6669
-2.6155 -8.3750 8.3406
0.0000 0.0000 0.0000
-2.1610 -2.3553 0.9728
1.0918 -2.6855 1.6613
-1.0692 -5.0409 2.6340
```

final energy: -59.15 eV/cell

(2)
NiPbS2: relaxed, PBE-GGA.

```
NiPbS2
1.0
-2.9383 -0.4936 2.2022
-1.3937 -2.4555 -2.4001
4.9648 -2.8149 2.8551
Pb S Ni
1 2 1
Cartesian
-0.7513 -2.9205 -0.9787
2.6230 -3.4809 3.3698
-0.6900 -3.1993 2.1360
1.3529 -3.8302 1.6045
```

final energy: -18.78 eV/cell

(3)
NiPbS2: relaxed, PBE-GGA.

```
NiPbS2
1.0
3.5028 0.0000 0.0000
1.7514 3.0335 0.0000
1.7514 1.0112 7.1292
S Ni Pb
2 1 1
Cartesian
1.7514 1.0112 1.1622
1.7514 1.0112 5.9414
3.5028 2.0223 0.0118
3.5028 2.0223 3.5783
```

final energy: -18.73 eV/cell